Record 1
## SrCo3Re4O12 (PBE+U)

Data for a relaxed structure of SrCo3Re4O12.

Properties
Final energy in eV per atom: -7.60
Magnetic moment in μB per atom: 0.075

abc: 6.584 6.584 6.584
angles: 109.47 109.47 109.47
Element x y z (fractional)
Co: 0.500 0.500 0.000
Co: 0.500 0.000 0.500
Co: 0.000 0.500 0.500
O: 0.819 0.307 0.126
O: 0.307 0.489 0.181
O: 0.693 0.874 0.181
O: 0.489 0.181 0.307
O: 0.126 0.819 0.307
O: 0.181 0.307 0.489
O: 0.819 0.693 0.511
O: 0.874 0.181 0.693
O: 0.511 0.819 0.693
O: 0.307 0.126 0.819
O: 0.693 0.511 0.819
O: 0.181 0.693 0.874
Re: 0.500 0.000 0.000
Re: 0.000 0.500 0.000
Re: 0.000 0.000 0.500
Re: 0.500 0.500 0.500
Sr: 0.000 0.000 0.000

=====

Record 2
## Sr2CoReO6 (PBE+U)

Data for a relaxed structure of Sr2CoReO6.

Properties
Final energy in eV per atom: -7.14
Magnetic moment in μB per atom: 0.200

abc: 5.594 5.568 7.880
angles: 90.00 89.97 90.00
Element x y z (fractional)
Co: 0.000 0.500 0.000
Co: 0.500 0.000 0.500
O: 0.764 0.780 0.028
O: 0.717 0.267 0.028
O: 0.445 0.995 0.241
O: 0.055 0.495 0.259
O: 0.783 0.767 0.472
O: 0.736 0.280 0.472
O: 0.264 0.720 0.528
O: 0.217 0.233 0.528
O: 0.945 0.505 0.741
O: 0.555 0.005 0.759
O: 0.283 0.733 0.972
O: 0.236 0.220 0.972
Re: 0.500 0.000 0.000
Re: 0.000 0.500 0.500
Sr: 0.996 0.018 0.249
Sr: 0.504 0.518 0.251
Sr: 0.496 0.482 0.749
Sr: 0.004 0.982 0.751

=====

Record 3
## CoSO4 (PBE+U)

Data for a relaxed structure of CoSO4.

Properties
Final energy in eV per atom: -6.14
Magnetic moment in μB per atom: 0.500

abc: 8.609 6.618 4.693
angles: 90.00 90.00 90.00
Element x y z (fractional)
Co: 0.000 0.000 0.000
Co: 0.000 0.500 0.000
Co: 0.500 0.000 0.500
Co: 0.500 0.500 0.500
O: 0.855 0.250 0.045
O: 0.625 0.063 0.154
O: 0.625 0.437 0.154
O: 0.870 0.750 0.215
O: 0.370 0.750 0.285
O: 0.125 0.063 0.346
O: 0.125 0.437 0.346
O: 0.355 0.250 0.455
O: 0.645 0.750 0.545
O: 0.875 0.563 0.654
O: 0.875 0.937 0.654
O: 0.630 0.250 0.715
O: 0.130 0.250 0.785
O: 0.375 0.563 0.846
O: 0.375 0.937 0.846
O: 0.145 0.750 0.955
S: 0.680 0.250 0.020
S: 0.180 0.250 0.480
S: 0.820 0.750 0.520
S: 0.320 0.750 0.980

=====

Record 4
## CoSO4 (PBE+U)

Data for a relaxed structure of CoSO4.

Properties
Final energy in eV per atom: -5.98
Magnetic moment in μB per atom: 0.167

abc: 4.678 4.678 6.451
angles: 90.00 90.00 112.59
Element x y z (fractional)
Co: 0.000 0.000 0.000
Co: 0.000 0.000 0.500
O: 0.254 0.746 0.058
O: 0.233 0.296 0.250
O: 0.704 0.767 0.250
O: 0.254 0.746 0.442
O: 0.746 0.254 0.558
O: 0.296 0.233 0.750
O: 0.767 0.704 0.750
O: 0.746 0.254 0.942
S: 0.355 0.645 0.250
S: 0.645 0.355 0.750

=====

Record 5
## CoSO4 (PBE+U)

Data for a relaxed structure of CoSO4.

Properties
Final energy in eV per atom: -6.10
Magnetic moment in μB per atom: 0.500

abc: 4.634 4.677 7.488
angles: 90.00 128.22 90.00
Element x y z (fractional)
Co: 0.329 0.914 0.002
Co: 0.329 0.086 0.502
O: 0.076 0.304 0.002
O: 0.673 0.631 0.002
O: 0.829 0.176 0.202
O: 0.429 0.824 0.302
O: 0.076 0.696 0.502
O: 0.673 0.369 0.502
O: 0.829 0.824 0.702
O: 0.429 0.176 0.802
S: 0.761 0.332 0.002
S: 0.761 0.668 0.502

=====

Record 6
## CoSO4 (PBE+U)

Data for a relaxed structure of CoSO4.

Properties
Final energy in eV per atom: -5.88
Magnetic moment in μB per atom: 0.167

abc: 6.808 6.616 4.357
angles: 90.00 109.30 90.00
Element x y z (fractional)
Co: 0.000 0.000 0.000
Co: 0.000 0.500 0.000
O: 0.295 0.061 0.125
O: 0.295 0.439 0.125
O: 0.970 0.750 0.268
O: 0.596 0.750 0.278
O: 0.404 0.250 0.722
O: 0.030 0.250 0.732
O: 0.705 0.561 0.875
O: 0.705 0.939 0.875
S: 0.722 0.750 0.076
S: 0.278 0.250 0.924